<1>
An optimized crystal structure of LiZn3Pt2. Source: Alexandria via LeMat-Bulk, functional GGA-PBE.

Lattice parameters (Å, degrees): 4.3189 4.3189 10.6656 90.00 90.00 120.00
With the nearest neighbours (Å) after each atom.
Space group P-3m1 (No. 164)
One atom of each set of equivalent atoms:
Li1 0.3333 0.6667 0.1682 (multiplicity 2)  8 Zn 2.64-2.69
Zn1 0.0000 0.0000 0.2489 (multiplicity 2)  5 Pt 2.63-2.68, 3 Li 2.64
Zn2 0.3333 0.6667 0.4167 (multiplicity 2)  7 Pt 2.65-2.72, 1 Li 2.65
Zn3 0.3333 0.6667 0.9160 (multiplicity 2)  4 Pt 2.61-2.65, 4 Li 2.65-2.69
Pt1 0.0000 0.0000 0.0000 (multiplicity 1)  8 Zn 2.65-2.66
Pt2 0.0000 0.0000 0.5000 (multiplicity 1)  8 Zn 2.65-2.68
Pt3 0.3333 0.6667 0.6717 (multiplicity 2)  8 Zn 2.61-2.72

Values from the calculation:
crystal system: trigonal
total magnetic moment: 0.00 μB/cell


<2>
An optimized crystal structure of LiZn3Pt2. Source: Alexandria via LeMat-Bulk, functional GGA-PBE.

Lattice parameters (Å, degrees): 7.9449 8.6788 5.4284 90.00 103.81 90.00
With the nearest neighbours (Å) after each atom.
Space group C2/c (No. 15)
One atom of each set of equivalent atoms:
Li1 0.0000 0.0098 0.2500 (multiplicity 4)  3 Zn 2.42-2.59, 2 Pt 2.59
Zn1 0.0000 0.2890 0.2500 (multiplicity 4)  1 Li 2.42, 4 Pt 2.56-2.59, 2 Zn 2.61
Zn2 0.1851 0.4821 0.9811 (multiplicity 8)  4 Pt 2.56-2.80, 1 Li 2.59, 4 Zn 2.61-2.85
Pt1 0.1733 0.2385 0.7106 (multiplicity 8)  6 Zn 2.56-2.80, 1 Li 2.59, 1 Pt 2.84

Values from the calculation:
crystal system: monoclinic
total magnetic moment: 0.00 μB/cell


Q: What are the energies relative to the best structure? A: <1> 0; <2> 186, in meV per atom.


<1>
An optimized crystal structure of Li3Zn2Pt2. Source: Alexandria via LeMat-Bulk, functional GGA-PBE.

Lattice parameters (Å, degrees): 7.4166 4.2988 6.7016 90.00 112.08 90.00
With the nearest neighbours (Å) after each atom.
Space group C2/m (No. 12)
One atom of each set of equivalent atoms:
Li1 0.0000 0.0000 0.0000 (multiplicity 2)  6 Zn 2.63, 2 Li 2.72
Li2 0.1464 0.0000 0.4384 (multiplicity 4)  4 Li 2.59-2.72, 1 Zn 2.61, 3 Pt 2.67
Zn1 0.2138 0.5000 0.1413 (multiplicity 4)  4 Pt 2.61-2.62, 4 Li 2.61-2.63
Pt1 0.0736 0.5000 0.7212 (multiplicity 4)  4 Zn 2.61-2.62, 3 Li 2.67, 1 Pt 2.75

Values from the calculation:
crystal system: monoclinic
total magnetic moment: 0.00 μB/cell


<2>
An optimized crystal structure of Li3Zn2Pt2. Source: Alexandria via LeMat-Bulk, functional GGA-PBE.

Lattice parameters (Å, degrees): 4.0957 2.7414 9.8173 90.00 102.01 90.00
With the nearest neighbours (Å) after each atom.
Space group P2/m (No. 10)
One atom of each set of equivalent atoms:
Li1 0.0000 0.0000 0.0000 (multiplicity 1)  2 Zn 2.46, 2 Li 2.74
Li2 0.2968 0.0000 0.5946 (multiplicity 2)  2 Zn 2.50, 4 Li 2.73-2.74, 2 Pt 2.77
Zn1 0.1286 0.0000 0.2560 (multiplicity 2)  3 Li 2.46-2.50, 4 Pt 2.65, 2 Zn 2.74
Pt1 0.4218 0.5000 0.8448 (multiplicity 2)  4 Zn 2.65, 2 Pt 2.74, 6 Li 2.77-2.88

Values from the calculation:
crystal system: monoclinic
total magnetic moment: 0.00 μB/cell


Q: What are the energies relative to the best structure? A: <1> 0; <2> 184, in meV per atom.


<1>
An optimized crystal structure of LiZrPt3. Source: Alexandria via LeMat-Bulk, functional GGA-PBE.

Lattice parameters (Å, degrees): 4.3016 4.3016 4.3016 90.00 90.00 90.00
With the nearest neighbours (Å) after each atom.
Space group Pm-3m (No. 221)
One atom of each set of equivalent atoms:
Li1 0.0000 0.0000 0.0000 (multiplicity 1)  6 Pt 2.15
Zr1 0.5000 0.5000 0.5000 (multiplicity 1)  12 Pt 3.04
Pt1 0.0000 0.0000 0.5000 (multiplicity 3)  2 Li 2.15

Values from the calculation:
crystal system: cubic
total magnetic moment: 0.00 μB/cell


<2>
An optimized crystal structure of LiZrPt3. Source: Alexandria via LeMat-Bulk, functional GGA-PBE.

Lattice parameters (Å, degrees): 5.3478 13.9043 5.0572 90.00 90.00 90.00
With the nearest neighbours (Å) after each atom.
Space group Cmcm (No. 63)
One atom of each set of equivalent atoms:
Li1 0.0000 0.0428 0.2500 (multiplicity 4)  2 Li 2.79, 6 Pt 2.93-3.02
Zr1 0.0000 0.3108 0.7500 (multiplicity 4)  8 Pt 2.66-2.93
Pt1 0.0000 0.5000 0.0000 (multiplicity 4)  6 Pt 2.53-2.74
Pt2 0.2470 0.1449 0.7500 (multiplicity 8)  4 Pt 2.64-2.74, 3 Zr 2.66-2.93, 1 Li 2.93

Values from the calculation:
crystal system: orthorhombic
total magnetic moment: 0.00 μB/cell


<3>
An optimized crystal structure of LiZrPt3. Source: Alexandria via LeMat-Bulk, functional GGA-PBE.

Lattice parameters (Å, degrees): 4.5479 5.6432 6.6039 90.00 103.33 90.00
With the nearest neighbours (Å) after each atom.
Space group P2_1/m (No. 11)
One atom of each set of equivalent atoms:
Li1 0.1719 0.2500 0.3211 (multiplicity 2)  5 Pt 2.46-2.55
Zr1 0.1719 0.7500 0.2320 (multiplicity 2)  8 Pt 2.74-2.95, 2 Li 2.88
Pt1 0.2884 0.5103 0.6397 (multiplicity 4)  3 Li 2.52-2.76, 2 Pt 2.71-2.74, 1 Zr 2.82
Pt2 0.3996 0.2500 0.0173 (multiplicity 2)  1 Li 2.46, 2 Pt 2.74, 1 Zr 2.74

Values from the calculation:
crystal system: monoclinic
total magnetic moment: 0.00 μB/cell


<4>
An optimized crystal structure of LiZrPt3. Source: Alexandria via LeMat-Bulk, functional GGA-PBE.

Lattice parameters (Å, degrees): 5.0161 5.0161 5.0161 90.00 90.00 90.00
With the nearest neighbours (Å) after each atom.
Space group Pm-3m (No. 221)
One atom of each set of equivalent atoms:
Li1 0.0000 0.0000 0.0000 (multiplicity 1)  12 Pt 3.55
Zr1 0.5000 0.5000 0.5000 (multiplicity 1)  6 Pt 2.51
Pt1 0.0000 0.5000 0.5000 (multiplicity 3)  2 Zr 2.51

Values from the calculation:
crystal system: cubic
total magnetic moment: 0.00 μB/cell


Q: What are the energies relative to the best structure? A: <1> 435; <2> 97; <3> 0; <4> 1127, in meV per atom.